# DyTmIn (PBE, relaxed)
data_DyTmIn
_cell_length_a 4.239
_cell_length_b 4.239
_cell_length_c 6.168
_cell_angle_alpha 90.00
_cell_angle_beta 90.00
_cell_angle_gamma 90.00
_space_group_name_H-M_alt 'P 1'
_space_group_IT_number 1
_space_group_name_Hall 'P 1'
loop_
_atom_site_label
_atom_site_type_symbol
_atom_site_fract_x
_atom_site_fract_y
_atom_site_fract_z
In1 In 0.000 0.000 0.000
Dy1 Dy 0.500 0.500 0.000
Tm1 Tm 0.500 0.500 0.500
# space group = P4/mmm (123)
# theoretical density = 6685 kg/m³
# magnetic moment = 0.0 μB per formula unit
# V = 36.95 Å³ per atom
# offset from the most stable computed form = 21.90 kcal/mol of atoms


# SrV2Rh (PBE, relaxed)
data_SrV2Rh
_cell_length_a 4.653
_cell_length_b 4.653
_cell_length_c 9.353
_cell_angle_alpha 75.60
_cell_angle_beta 75.60
_cell_angle_gamma 90.00
_space_group_name_H-M_alt 'P 1'
_space_group_IT_number 1
_space_group_name_Hall 'P 1'
loop_
_atom_site_label
_atom_site_type_symbol
_atom_site_fract_x
_atom_site_fract_y
_atom_site_fract_z
Sr1 Sr 0.500 0.500 0.000
Sr2 Sr 0.250 0.750 0.500
Rh1 Rh 0.000 0.000 0.000
Rh2 Rh 0.750 0.250 0.500
V1 V 0.875 0.125 0.250
V2 V 0.875 0.625 0.250
V3 V 0.375 0.125 0.750
V4 V 0.875 0.125 0.750
# space group = I4_1/amd (141)
# theoretical density = 5124 kg/m³
# magnetic moment = 1.3 μB per formula unit
# V = 23.69 Å³ per atom
# offset from the most stable computed form = 0.00 kcal/mol of atoms


# Mg3Tl4F10 (PBE, relaxed)
data_Mg3Tl4F10
_cell_length_a 4.116
_cell_length_b 4.116
_cell_length_c 15.790
_cell_angle_alpha 97.49
_cell_angle_beta 97.49
_cell_angle_gamma 90.00
_space_group_name_H-M_alt 'P 1'
_space_group_IT_number 1
_space_group_name_Hall 'P 1'
loop_
_atom_site_label
_atom_site_type_symbol
_atom_site_fract_x
_atom_site_fract_y
_atom_site_fract_z
Mg1 Mg 0.134 0.134 0.269
Mg2 Mg 0.866 0.866 0.731
Mg3 Mg 0.000 0.000 0.000
Tl1 Tl 0.567 0.567 0.135
Tl2 Tl 0.433 0.433 0.865
Tl3 Tl 0.296 0.296 0.592
Tl4 Tl 0.704 0.704 0.408
F1 F 0.135 0.635 0.270
F2 F 0.067 0.067 0.134
F3 F 0.635 0.135 0.270
F4 F 0.865 0.365 0.730
F5 F 0.365 0.865 0.730
F6 F 0.933 0.933 0.866
F7 F 0.199 0.199 0.398
F8 F 0.801 0.801 0.602
F9 F 0.000 0.500 0.000
F10 F 0.500 0.000 0.000
# uncorrected formation energy = -2710.3 meV/atom
# space group = I4/mmm (139)
# theoretical density = 6824 kg/m³
# magnetic moment = 0.0 μB per formula unit
# V = 15.47 Å³ per atom


# SrVP2S (PBE, relaxed)
data_SrVP2S
_cell_length_a 5.338
_cell_length_b 5.338
_cell_length_c 5.351
_cell_angle_alpha 90.00
_cell_angle_beta 90.00
_cell_angle_gamma 90.00
_space_group_name_H-M_alt 'P 1'
_space_group_IT_number 1
_space_group_name_Hall 'P 1'
loop_
_atom_site_label
_atom_site_type_symbol
_atom_site_fract_x
_atom_site_fract_y
_atom_site_fract_z
Sr1 Sr 0.000 0.000 0.000
S1 S 0.000 0.000 0.500
P1 P 0.000 0.500 0.000
P2 P 0.500 0.000 0.000
V1 V 0.500 0.500 0.500
# uncorrected formation energy = 1301.4 meV/atom
# space group = P4/mmm (123)
# theoretical density = 2533 kg/m³
# magnetic moment = 2.1 μB per formula unit
# V = 30.49 Å³ per atom
# offset from the most stable computed form = 44.71 kcal/mol of atoms


# Ba3AuCl (PBE, relaxed)
data_Ba3AuCl
_cell_length_a 5.031
_cell_length_b 8.461
_cell_length_c 13.785
_cell_angle_alpha 56.59
_cell_angle_beta 90.00
_cell_angle_gamma 90.00
_space_group_name_H-M_alt 'P 1'
_space_group_IT_number 1
_space_group_name_Hall 'P 1'
loop_
_atom_site_label
_atom_site_type_symbol
_atom_site_fract_x
_atom_site_fract_y
_atom_site_fract_z
Ba1 Ba 0.599 0.873 0.820
Ba2 Ba 0.099 0.815 0.108
Ba3 Ba 0.099 0.613 0.539
Ba4 Ba 0.599 0.357 0.834
Ba5 Ba 0.099 0.097 0.553
Ba6 Ba 0.599 0.155 0.265
Au1 Au 0.599 0.826 0.580
Au2 Au 0.099 0.143 0.792
Cl1 Cl 0.599 0.608 0.084
Cl2 Cl 0.099 0.362 0.289
# uncorrected formation energy = -969.7 meV/atom
# space group = P2_1/m (11)
# theoretical density = 4369 kg/m³
# magnetic moment = 0.0 μB per formula unit
# V = 48.99 Å³ per atom
# offset from the most stable computed form = 0.00 kcal/mol of atoms


# Nb (PBE, relaxed)
data_Nb
_cell_length_a 4.579
_cell_length_b 4.579
_cell_length_c 2.679
_cell_angle_alpha 90.00
_cell_angle_beta 90.00
_cell_angle_gamma 120.00
_space_group_name_H-M_alt 'P 1'
_space_group_IT_number 1
_space_group_name_Hall 'P 1'
loop_
_atom_site_label
_atom_site_type_symbol
_atom_site_fract_x
_atom_site_fract_y
_atom_site_fract_z
Nb1 Nb 0.333 0.667 0.500
Nb2 Nb 0.667 0.333 0.500
# space group = P6/mmm (191)
# theoretical density = 6343 kg/m³
# magnetic moment = 0.0 μB per formula unit
# V = 24.32 Å³ per atom
# offset from the most stable computed form = 37.74 kcal/mol of atoms


# CsTl2Br2Cl (PBE, relaxed)
data_CsTl2Br2Cl
_cell_length_a 7.636
_cell_length_b 4.854
_cell_length_c 14.084
_cell_angle_alpha 110.16
_cell_angle_beta 90.00
_cell_angle_gamma 90.00
_space_group_name_H-M_alt 'P 1'
_space_group_IT_number 1
_space_group_name_Hall 'P 1'
loop_
_atom_site_label
_atom_site_type_symbol
_atom_site_fract_x
_atom_site_fract_y
_atom_site_fract_z
Cs1 Cs 0.750 0.316 0.566
Cs2 Cs 0.250 0.684 0.434
Tl1 Tl 0.515 0.393 0.143
Tl2 Tl 0.985 0.393 0.143
Tl3 Tl 0.015 0.607 0.857
Tl4 Tl 0.485 0.607 0.857
Br1 Br 0.250 0.979 0.229
Br2 Br 0.250 0.379 0.629
Br3 Br 0.750 0.021 0.771
Br4 Br 0.750 0.621 0.371
Cl1 Cl 0.250 0.209 0.959
Cl2 Cl 0.750 0.791 0.041
# uncorrected formation energy = -1174.3 meV/atom
# space group = Pmmn (59)
# theoretical density = 4994 kg/m³
# magnetic moment = 0.0 μB per formula unit
# V = 40.84 Å³ per atom


# LiFeOs2 (PBE, relaxed)
data_LiFeOs2
_cell_length_a 4.127
_cell_length_b 4.127
_cell_length_c 4.127
_cell_angle_alpha 60.00
_cell_angle_beta 60.00
_cell_angle_gamma 60.00
_space_group_name_H-M_alt 'P 1'
_space_group_IT_number 1
_space_group_name_Hall 'P 1'
loop_
_atom_site_label
_atom_site_type_symbol
_atom_site_fract_x
_atom_site_fract_y
_atom_site_fract_z
Os1 Os 0.250 0.250 0.250
Os2 Os 0.750 0.750 0.750
Fe1 Fe 0.500 0.500 0.500
Li1 Li 0.000 0.000 0.000
# space group = Fm-3m (225)
# theoretical density = 14809 kg/m³
# magnetic moment = 2.1 μB per formula unit
# V = 12.43 Å³ per atom
# offset from the most stable computed form = 3.22 kcal/mol of atoms